Ca2CrPb, optimized geometry, DFT PBE-GGA; space-group type = Amm2; crystal system = orthorhombic; calculated density = 4.80 g cm⁻³; energy of formation = 0.041 eV/atom
1.0
5.007 0.000 0.000
0.000 3.843 0.001
0.000 1.924 6.105
Pb Cr Ca
1 1 2
Cartesian
2.503 3.605 4.652
0.000 3.603 2.984
0.000 5.526 5.706
2.503 1.683 1.924


HfBiTeI2, optimized geometry, DFT PBE-GGA; space-group type = P4/mmm; crystal system = tetragonal; energy above the lowest structure with this stoichiometry = 0 meV per atom; calculated density = 6.91 g cm⁻³
1.0
-4.302 -3.405 -1.596
-0.596 -1.777 5.398
-3.679 4.192 0.974
I Te Hf Bi
2 1 1 1
Cartesian
-0.298 -0.888 2.699
-2.151 -1.702 -0.798
-1.840 2.096 0.487
0.000 0.000 0.000
-4.289 -0.495 2.388


VRe3As, optimized geometry, DFT PBE-GGA; space-group type = Pm-3m; crystal system = cubic; energy above the lowest structure with this stoichiometry = 216 meV per atom; calculated density = 12.20 g cm⁻³; energy of formation = 1.802 eV/atom
1.0
-0.330 0.769 4.455
-3.939 -2.241 0.096
2.219 -3.864 0.831
Re As V
3 1 1
Cartesian
-1.970 -1.121 0.048
1.110 -1.932 0.416
-0.165 0.385 2.228
-1.025 -2.668 2.691
0.000 0.000 0.000


Rb3AuS2, optimized geometry, DFT PBE-GGA; space-group type = Ibam; crystal system = orthorhombic; calculated density = 3.84 g cm⁻³
1.0
-2.647 -5.879 6.245
5.011 -1.435 7.223
-1.065 2.605 8.451
Rb Au S
6 2 4
Cartesian
-0.012 -3.824 12.521
1.311 -0.885 9.399
0.534 -4.764 18.318
-0.559 -2.884 6.724
0.765 0.055 3.601
1.857 -1.825 15.196
-1.323 -2.939 3.123
0.000 0.000 0.000
1.450 -4.191 9.571
1.631 -5.522 14.844
-0.332 0.814 7.076
-0.152 -0.518 12.349


Tb6Sm3Ho, optimized geometry, DFT PBE-GGA; space-group type = C2/m; crystal system = monoclinic; energy above the lowest structure with this stoichiometry = 100 meV per atom; calculated density = 7.60 g cm⁻³; energy of formation = 0.248 eV/atom
1.0
-3.288 -3.927 4.530
4.966 -8.227 -3.528
5.232 2.713 0.988
Tb Sm Ho
6 3 1
Cartesian
1.284 -2.858 1.061
7.253 -4.639 -1.312
5.626 -6.583 0.930
-0.343 -4.802 3.303
2.873 -0.007 2.079
4.037 -9.434 -0.088
3.058 -5.009 3.038
3.852 -4.433 -1.047
0.000 0.000 0.000
0.839 -6.077 0.501


Tm3Hg3Au2, optimized geometry, DFT PBE-GGA; space-group type = P-62m; crystal system = hexagonal; energy above the lowest structure with this stoichiometry = 0 meV per atom; calculated density = 13.32 g cm⁻³; energy of formation = -0.617 eV/atom
1.0
-1.986 2.897 0.908
-5.853 -2.676 -4.265
0.557 -1.953 7.449
Tm Hg Au
3 3 2
Cartesian
-3.155 -0.441 1.754
-4.457 -0.135 -2.070
-0.663 0.293 4.862
-4.072 -3.559 2.448
-1.353 -0.619 -0.986
0.129 -0.451 1.722
-1.580 -2.194 3.544
-3.716 -2.435 -0.361


| no. | total moment (μB per formula unit) | total energy (eV per atom) |
| --- | --- | --- |
| 1 | 5.0 | -4.2928 |
| 2 | 2.9 | -3.9968 |
| 3 | 1.7 | -8.4209 |
| 4 | 0.0 | -3.2832 |
| 5 | 0.0 | -4.4040 |
| 6 | 0.0 | -3.2259 |